Entry 1:
The following is a PBE-GGA calculation of an optimized crystal structure of BeTeSe2, from Alexandria via LeMat-Bulk.

## Properties
Distance to the lowest polymorph of the same formula   24 meV/atom
Uncorrected energy   -3.541 eV per atom
Magnetization   0.00 μB/f.u.
ΔE_f (raw)   -31.7 kJ/mol of formula units

Cell: 6.4621 6.4621 9.0200 Å, 90.00 90.00 90.00°
Last column: nearest neighbours and their distance in Å.
Space group I-42d (No. 122)
One atom of each set of equivalent atoms:
Be 0.0000 0.0000 0.0000 (multiplicity 4)  4 Se 2.24
Te 0.0000 0.0000 0.5000 (multiplicity 4)  4 Se 2.93
Se 0.1651 0.2500 0.1250 (multiplicity 8)  2 Be 2.24

---

Entry 2:
The following is a PBE-GGA calculation of an optimized crystal structure of Be2TeSe, from Alexandria via LeMat-Bulk.

## Properties
Distance to the lowest polymorph of the same formula   95 meV/atom
Uncorrected energy   -3.984 eV per atom
Magnetization   0.00 μB/f.u.
ΔE_f (raw)   -179.3 kJ/mol of formula units

Cell: 3.7754 3.7761 6.9517 Å, 90.00 91.52 90.00°
Last column: nearest neighbours and their distance in Å.
Space group Pm (No. 6)
One atom of each set of equivalent atoms:
Be 0.0000 0.0000 0.0000 (multiplicity 1)  2 Se 2.30, 2 Te 2.46
Be 0.5005 0.5000 0.9999 (multiplicity 1)  2 Se 2.30, 2 Te 2.46
Te 0.4891 0.0000 0.7732 (multiplicity 1)  4 Be 2.46
Se 0.0098 0.5000 0.1893 (multiplicity 1)  4 Be 2.30

---

Entry 3:
The following is a PBE-GGA calculation of an optimized crystal structure of Be2TeSe, from Alexandria via LeMat-Bulk.

## Properties
Distance to the lowest polymorph of the same formula   279 meV/atom
Uncorrected energy   -3.800 eV per atom
Magnetization   0.00 μB/f.u.
ΔE_f (raw)   -108.4 kJ/mol of formula units

Cell: 3.8438 3.8438 33.3261 Å, 90.00 90.00 120.00°
Last column: nearest neighbours and their distance in Å.
Space group R3m (No. 160, hexagonal axes)
One atom of each set of equivalent atoms:
Be 0.0000 0.0000 0.0000 (multiplicity 3)  3 Te 2.26
Be 0.0000 0.0000 0.1822 (multiplicity 3)  3 Se 2.22
Te 0.0000 0.0000 0.6794 (multiplicity 3)  3 Be 2.26
Se 0.0000 0.0000 0.5157 (multiplicity 3)  3 Be 2.22

---

Entry 4:
The following is a PBE-GGA calculation of an optimized crystal structure of BeTeSe2, from Alexandria via LeMat-Bulk.

## Properties
Distance to the lowest polymorph of the same formula   154 meV/atom
Uncorrected energy   -3.411 eV per atom
Magnetization   0.00 μB/f.u.
ΔE_f (raw)   18.5 kJ/mol of formula units

Cell: 11.7967 3.5257 4.8677 Å, 90.00 113.79 90.00°
Last column: nearest neighbours and their distance in Å.
Space group C2/m (No. 12)
One atom of each set of equivalent atoms:
Be 0.0000 0.0000 0.0000 (multiplicity 2)  4 Se 2.39
Te 0.0000 0.5000 0.5000 (multiplicity 2)  4 Se 2.90-2.94, 4 Be 3.01
Se 0.1494 0.5000 0.1506 (multiplicity 4)  2 Be 2.39

---

Entry 5:
The following is a PBE-GGA calculation of an optimized crystal structure of Be2TeSe, from Alexandria via LeMat-Bulk.

## Properties
Distance to the lowest polymorph of the same formula   827 meV/atom
Uncorrected energy   -3.253 eV per atom
Magnetization   0.00 μB/f.u.
ΔE_f (raw)   102.9 kJ/mol of formula units

Cell: 3.4353 3.4412 9.1335 Å, 90.00 90.00 90.00°
Last column: nearest neighbours and their distance in Å.
Space group Pmmm (No. 47)
One atom of each set of equivalent atoms:
Be 0.0000 0.0000 0.0000 (multiplicity 1)  4 Se 2.43
Be 0.0000 0.5000 0.5000 (multiplicity 1)  4 Te 2.43
Te 0.5000 0.0000 0.5000 (multiplicity 1)  4 Be 2.43
Se 0.5000 0.5000 0.0000 (multiplicity 1)  4 Be 2.43

---

Entry 6:
The following is a PBE-GGA calculation of an optimized crystal structure of Be2TeSe, from Alexandria via LeMat-Bulk.

## Properties
Distance to the lowest polymorph of the same formula   1123 meV/atom
Uncorrected energy   -2.957 eV per atom
Magnetization   0.00 μB/f.u.
ΔE_f (raw)   217.2 kJ/mol of formula units

Cell: 3.1945 3.1945 6.7894 Å, 90.00 90.00 90.00°
Last column: nearest neighbours and their distance in Å.
Space group P4/mmm (No. 123)
One atom of each set of equivalent atoms:
Be 0.0000 0.0000 0.1733 (multiplicity 2)  1 Be 2.35, 4 Se 2.55
Te 0.5000 0.5000 0.5000 (multiplicity 1)  8 Be 3.17, 4 Te 3.19, 2 Se 3.39
Se 0.5000 0.5000 0.0000 (multiplicity 1)  8 Be 2.55

---

Entry 7:
The following is a PBE-GGA calculation of an optimized crystal structure of Be2TeSe, from Alexandria via LeMat-Bulk.

## Properties
Distance to the lowest polymorph of the same formula   301 meV/atom
Uncorrected energy   -3.779 eV per atom
Magnetization   0.00 μB/f.u.
ΔE_f (raw)   -100.1 kJ/mol of formula units

Cell: 14.2640 3.8133 4.9363 Å, 90.00 96.18 90.00°
Last column: nearest neighbours and their distance in Å.
Space group Cm (No. 8)
One atom of each set of equivalent atoms:
Be 0.0000 0.0000 0.0000 (multiplicity 2)  2 Se 2.19, 2 Be 2.24, 1 Te 2.43
Be 0.0826 0.5000 0.0482 (multiplicity 2)  1 Se 2.17, 2 Be 2.24, 2 Te 2.33
Te 0.1589 0.0000 0.2307 (multiplicity 2)  3 Be 2.33-2.43
Se 0.4392 0.0000 0.8523 (multiplicity 2)  3 Be 2.17-2.19

---

Entry 8:
The following is a PBE-GGA calculation of an optimized crystal structure of BeTeSe2, from Alexandria via LeMat-Bulk.

## Properties
Distance to the lowest polymorph of the same formula   0 meV/atom
Uncorrected energy   -3.566 eV per atom
Magnetization   0.00 μB/f.u.
ΔE_f (raw)   -41.1 kJ/mol of formula units

Cell: 3.5588 3.5588 24.1638 Å, 90.00 90.00 120.00°
Last column: nearest neighbours and their distance in Å.
Space group R-3m (No. 166, hexagonal axes)
One atom of each set of equivalent atoms:
Be 0.0000 0.0000 0.0000 (multiplicity 3)  6 Se 2.42
Te 0.0000 0.0000 0.5000 (multiplicity 3)  2 Se 2.75
Se 0.0000 0.0000 0.3862 (multiplicity 6)  3 Be 2.42